No. 1
This record from the Alexandria database describes a geometry-optimized LiLuPaTc structure. The functional is GGA-PBE.

Summary:
formation energy from the elements = -0.004 eV/atom
DOS(E_F) = 21.1 states/eV/cell
E_tot = -6.58 eV/atom
magnetic moment = 0.0 μB per formula unit

a = 6.8780 Å, b = 6.8780 Å, c = 6.8780 Å
α = 90.00°, β = 90.00°, γ = 90.00°
Fractional coordinates of all 16 atoms:
1 Li 0.0000 0.0000 0.0000
2 Li 0.0000 0.5000 0.5000
3 Li 0.5000 0.0000 0.5000
4 Li 0.5000 0.5000 0.0000
5 Lu 0.2500 0.2500 0.2500
6 Lu 0.2500 0.7500 0.7500
7 Lu 0.7500 0.2500 0.7500
8 Lu 0.7500 0.7500 0.2500
9 Pa 0.2500 0.2500 0.7500
10 Pa 0.2500 0.7500 0.2500
11 Pa 0.7500 0.2500 0.2500
12 Pa 0.7500 0.7500 0.7500
13 Tc 0.0000 0.0000 0.5000
14 Tc 0.0000 0.5000 0.0000
15 Tc 0.5000 0.0000 0.0000
16 Tc 0.5000 0.5000 0.5000

=====

No. 2
This record from the Alexandria database describes a geometry-optimized LiLuPb2 structure. The functional is GGA-PBE.

Summary:
formation energy from the elements = -0.289 eV/atom
DOS(E_F) = 2.3 states/eV/cell
E_tot = -3.75 eV/atom
magnetic moment = 0.0 μB per formula unit

a = 3.5605 Å, b = 3.5605 Å, c = 7.9168 Å
α = 90.00°, β = 90.00°, γ = 90.00°
Fractional coordinates of all 4 atoms:
1 Li 0.0000 0.0000 0.0000
2 Lu 0.0000 0.0000 0.5000
3 Pb 0.5000 0.5000 0.2289
4 Pb 0.5000 0.5000 0.7711

=====

No. 3
This record from the Alexandria database describes a geometry-optimized LiLuPb2 structure. The functional is GGA-PBE.

Summary:
formation energy from the elements = -0.232 eV/atom
DOS(E_F) = 5.8 states/eV/cell
E_tot = -3.69 eV/atom
magnetic moment = 0.0 μB per formula unit

a = 3.5891 Å, b = 3.5891 Å, c = 28.8022 Å
α = 90.00°, β = 90.00°, γ = 120.00°
Fractional coordinates of all 12 atoms:
1 Li 0.0000 0.0000 0.0000
2 Li 0.3333 0.6667 0.6667
3 Li 0.6667 0.3333 0.3333
4 Lu 0.0000 0.0000 0.5000
5 Lu 0.3333 0.6667 0.1667
6 Lu 0.6667 0.3333 0.8333
7 Pb 0.0000 0.0000 0.2548
8 Pb 0.0000 0.0000 0.7452
9 Pb 0.3333 0.6667 0.4119
10 Pb 0.3333 0.6667 0.9215
11 Pb 0.6667 0.3333 0.0785
12 Pb 0.6667 0.3333 0.5881

=====

No. 4
This record from the Alexandria database describes a geometry-optimized LiLuPb2 structure. The functional is GGA-PBE.

Summary:
formation energy from the elements = -0.332 eV/atom
DOS(E_F) = 1.2 states/eV/cell
E_tot = -3.79 eV/atom
magnetic moment = 0.0 μB per formula unit

a = 4.7824 Å, b = 4.7824 Å, c = 4.3637 Å
α = 90.00°, β = 90.00°, γ = 90.00°
Fractional coordinates of all 4 atoms:
1 Li 0.0000 0.0000 0.0000
2 Lu 0.5000 0.5000 0.0000
3 Pb 0.0000 0.5000 0.5000
4 Pb 0.5000 0.0000 0.5000

=====

No. 5
This record from the Alexandria database describes a geometry-optimized LiLuPdPb structure. The functional is GGA-PBE.

Summary:
formation energy from the elements = -0.607 eV/atom
DOS(E_F) = 1.1 states/eV/cell
E_tot = -4.44 eV/atom
magnetic moment = 0.0 μB per formula unit

a = 6.7581 Å, b = 6.7581 Å, c = 6.7581 Å
α = 90.00°, β = 90.00°, γ = 90.00°
Fractional coordinates of all 16 atoms:
1 Li 0.0000 0.0000 0.0000
2 Li 0.0000 0.5000 0.5000
3 Li 0.5000 0.0000 0.5000
4 Li 0.5000 0.5000 0.0000
5 Lu 0.2500 0.2500 0.7500
6 Lu 0.2500 0.7500 0.2500
7 Lu 0.7500 0.2500 0.2500
8 Lu 0.7500 0.7500 0.7500
9 Pd 0.0000 0.0000 0.5000
10 Pd 0.0000 0.5000 0.0000
11 Pd 0.5000 0.0000 0.0000
12 Pd 0.5000 0.5000 0.5000
13 Pb 0.2500 0.2500 0.2500
14 Pb 0.2500 0.7500 0.7500
15 Pb 0.7500 0.2500 0.7500
16 Pb 0.7500 0.7500 0.2500

=====

No. 6
This record from the Alexandria database describes a geometry-optimized LiLuPtPb structure. The functional is GGA-PBE.

Summary:
formation energy from the elements = -0.719 eV/atom
DOS(E_F) = 1.8 states/eV/cell
E_tot = -4.76 eV/atom
magnetic moment = 0.0 μB per formula unit

a = 6.7558 Å, b = 6.7558 Å, c = 6.7558 Å
α = 90.00°, β = 90.00°, γ = 90.00°
Fractional coordinates of all 16 atoms:
1 Li 0.0000 0.0000 0.0000
2 Li 0.0000 0.5000 0.5000
3 Li 0.5000 0.0000 0.5000
4 Li 0.5000 0.5000 0.0000
5 Lu 0.2500 0.2500 0.2500
6 Lu 0.2500 0.7500 0.7500
7 Lu 0.7500 0.2500 0.7500
8 Lu 0.7500 0.7500 0.2500
9 Pt 0.0000 0.0000 0.5000
10 Pt 0.0000 0.5000 0.0000
11 Pt 0.5000 0.0000 0.0000
12 Pt 0.5000 0.5000 0.5000
13 Pb 0.2500 0.2500 0.7500
14 Pb 0.2500 0.7500 0.2500
15 Pb 0.7500 0.2500 0.2500
16 Pb 0.7500 0.7500 0.7500

=====

No. 7
This record from the Alexandria database describes a geometry-optimized LiLuRuPb structure. The functional is GGA-PBE.

Summary:
formation energy from the elements = -0.225 eV/atom
DOS(E_F) = 17.1 states/eV/cell
E_tot = -5.08 eV/atom
magnetic moment = 0.0 μB per formula unit

a = 6.7094 Å, b = 6.7094 Å, c = 6.7094 Å
α = 90.00°, β = 90.00°, γ = 90.00°
Fractional coordinates of all 16 atoms:
1 Li 0.0000 0.0000 0.0000
2 Li 0.0000 0.5000 0.5000
3 Li 0.5000 0.0000 0.5000
4 Li 0.5000 0.5000 0.0000
5 Lu 0.2500 0.2500 0.2500
6 Lu 0.2500 0.7500 0.7500
7 Lu 0.7500 0.2500 0.7500
8 Lu 0.7500 0.7500 0.2500
9 Ru 0.0000 0.0000 0.5000
10 Ru 0.0000 0.5000 0.0000
11 Ru 0.5000 0.0000 0.0000
12 Ru 0.5000 0.5000 0.5000
13 Pb 0.2500 0.2500 0.7500
14 Pb 0.2500 0.7500 0.2500
15 Pb 0.7500 0.2500 0.2500
16 Pb 0.7500 0.7500 0.7500

=====

No. 8
This record from the Alexandria database describes a geometry-optimized SrLiLuPb structure. The functional is GGA-PBE.

Summary:
formation energy from the elements = -0.212 eV/atom
DOS(E_F) = 5.6 states/eV/cell
E_tot = -3.17 eV/atom
magnetic moment = 0.0 μB per formula unit

a = 7.7773 Å, b = 7.7773 Å, c = 7.7773 Å
α = 90.00°, β = 90.00°, γ = 90.00°
Fractional coordinates of all 16 atoms:
1 Sr 0.0000 0.0000 0.0000
2 Sr 0.0000 0.5000 0.5000
3 Sr 0.5000 0.0000 0.5000
4 Sr 0.5000 0.5000 0.0000
5 Li 0.2500 0.2500 0.7500
6 Li 0.2500 0.7500 0.2500
7 Li 0.7500 0.2500 0.2500
8 Li 0.7500 0.7500 0.7500
9 Lu 0.0000 0.0000 0.5000
10 Lu 0.0000 0.5000 0.0000
11 Lu 0.5000 0.0000 0.0000
12 Lu 0.5000 0.5000 0.5000
13 Pb 0.2500 0.2500 0.2500
14 Pb 0.2500 0.7500 0.7500
15 Pb 0.7500 0.2500 0.7500
16 Pb 0.7500 0.7500 0.2500